No. 1
The following is a GGA-PBE calculation of an optimized crystal structure of RbTeSe4, from Alexandria.

Its raw total energy is -19.2 eV per formula unit. The uncorrected formation energy is -191 meV/atom.

abc: 9.240 6.146 6.799
angles: 90.00 90.67 90.00
Space group C2/m (No. 12)
Unique sites:
Rb1 0.000 0.000 0.000 [2 per cell]
Te1 0.000 0.500 0.500 [2 per cell]
Se1 0.099 0.500 0.116 [4 per cell]
Se2 0.128 0.000 0.505 [4 per cell]


No. 2
The following is a GGA-PBE calculation of an optimized crystal structure of Sr3Pr4Tl4, from Alexandria.

The value obtained for the energy of formation from the pure elements is -0.22 eV/atom. Its raw total energy is -36.1 eV per formula unit.

abc: 5.490 8.283 17.597
angles: 90.00 90.00 90.00
Space group Immm (No. 71)
Unique sites:
Sr1 0.000 0.000 0.000 [2 per cell]
Sr2 0.000 0.500 0.112 [4 per cell]
Pr1 0.000 0.289 0.325 [8 per cell]
Tl1 0.000 0.000 0.201 [4 per cell]
Tl2 0.000 0.189 0.500 [4 per cell]